Entry w
This record from Alexandria via LeMat-Bulk describes Nd6DyHo12 after structural relaxation. The functional is PBE.

* density of states at the Fermi level: 1.55 states/eV per atom
* M_tot: 0.0 μB/f.u.
* volume: 32.786 Å³/atom

Cell lengths 8.669, 8.669, 8.669 Å; angles 79.62, 79.62, 79.62 degrees
Element x y z (fractional)
Nd1 0.232 0.232 0.836
Nd2 0.232 0.836 0.232
Nd3 0.836 0.232 0.232
Nd4 0.164 0.768 0.768
Nd5 0.768 0.768 0.164
Nd6 0.768 0.164 0.768
Ho1 0.486 0.486 0.804
Ho2 0.486 0.804 0.486
Ho3 0.196 0.514 0.514
Ho4 0.514 0.196 0.514
Ho5 0.514 0.514 0.196
Ho6 0.863 0.515 0.863
Ho7 0.863 0.863 0.515
Ho8 0.137 0.137 0.485
Ho9 0.804 0.486 0.486
Ho10 0.515 0.863 0.863
Ho11 0.137 0.485 0.137
Ho12 0.485 0.137 0.137
Dy1 0.000 0.000 0.000

***

Entry x
This record from Alexandria via LeMat-Bulk describes Nd6DyHo12 after structural relaxation. The functional is PBE.

* density of states at the Fermi level: 1.62 states/eV per atom
* M_tot: 0.0 μB/f.u.
* volume: 33.670 Å³/atom

Cell lengths 8.730, 8.730, 8.730 Å; angles 98.69, 98.69, 98.69 degrees
Element x y z (fractional)
Ho1 0.243 0.757 0.500
Ho2 0.355 0.082 0.355
Ho3 0.243 0.500 0.757
Ho4 0.645 0.918 0.645
Ho5 0.918 0.645 0.645
Ho6 0.645 0.645 0.918
Ho7 0.757 0.500 0.243
Ho8 0.500 0.757 0.243
Ho9 0.082 0.355 0.355
Ho10 0.355 0.355 0.082
Ho11 0.757 0.243 0.500
Ho12 0.500 0.243 0.757
Nd1 0.344 0.903 0.903
Nd2 0.656 0.097 0.097
Nd3 0.097 0.656 0.097
Nd4 0.903 0.344 0.903
Nd5 0.097 0.097 0.656
Nd6 0.903 0.903 0.344
Dy1 0.000 0.000 0.000

***

Stability ranking, top entry: entry w; the second entry is 0.092 eV/atom less favorable.

***

Entry w
This record from Alexandria via LeMat-Bulk describes Nd3Dy2Ho4 after structural relaxation. The functional is PBE.

* density of states at the Fermi level: 1.53 states/eV per atom
* M_tot: 0.0 μB/f.u.
* volume: 32.418 Å³/atom

Cell lengths 6.070, 11.263, 11.263 Å; angles 62.38, 63.69, 63.69 degrees
Element x y z (fractional)
Ho1 0.421 0.916 0.183
Ho2 0.919 0.850 0.583
Ho3 0.079 0.817 0.084
Ho4 0.581 0.417 0.150
Ho5 0.921 0.183 0.916
Ho6 0.081 0.150 0.417
Ho7 0.579 0.084 0.817
Ho8 0.419 0.583 0.850
Nd1 0.250 0.605 0.395
Nd2 0.750 0.395 0.605
Nd3 0.748 0.729 0.939
Nd4 0.752 0.061 0.271
Nd5 0.252 0.271 0.061
Nd6 0.248 0.939 0.729
Dy1 0.922 0.516 0.248
Dy2 0.422 0.248 0.516
Dy3 0.078 0.484 0.752
Dy4 0.578 0.752 0.484

***

Entry x
This record from Alexandria via LeMat-Bulk describes Nd3Dy2Ho4 after structural relaxation. The functional is PBE.

* density of states at the Fermi level: 1.26 states/eV per atom
* M_tot: 0.0 μB/f.u.
* volume: 32.405 Å³/atom

Cell lengths 3.580, 6.196, 15.189 Å; angles 65.86, 90.00, 106.79 degrees
Element x y z (fractional)
Ho1 0.333 0.667 0.889
Ho2 0.667 0.333 0.111
Ho3 0.000 0.000 0.330
Ho4 0.000 0.000 0.670
Dy1 0.667 0.335 0.779
Dy2 0.333 0.665 0.221
Nd1 0.666 0.332 0.443
Nd2 0.334 0.668 0.557
Nd3 0.000 0.000 0.000

***

Stability ranking, top entry: entry x; the second entry is 0.082 eV/atom less favorable.

***

Entry w
This record from Alexandria via LeMat-Bulk describes Nd4Dy5Ho after structural relaxation. The functional is PBE.

* density of states at the Fermi level: 1.36 states/eV per atom
* M_tot: 0.0 μB/f.u.
* volume: 34.311 Å³/atom

Cell lengths 3.541, 11.251, 8.791 Å; angles 89.98, 101.61, 90.00 degrees
Element x y z (fractional)
Nd1 0.656 0.250 0.313
Nd2 0.344 0.750 0.687
Nd3 0.969 0.250 0.938
Nd4 0.031 0.750 0.062
Dy1 0.173 0.950 0.346
Dy2 0.827 0.449 0.653
Dy3 0.500 0.500 0.000
Dy4 0.173 0.551 0.347
Dy5 0.827 0.050 0.654
Ho1 0.500 0.000 0.000

***

Entry x
This record from Alexandria via LeMat-Bulk describes Nd4Dy5Ho after structural relaxation. The functional is PBE.

* density of states at the Fermi level: 1.30 states/eV per atom
* M_tot: 0.0 μB/f.u.
* volume: 34.126 Å³/atom

Cell lengths 5.983, 8.123, 8.123 Å; angles 82.21, 68.39, 68.39 degrees
Element x y z (fractional)
Nd1 0.449 0.323 0.677
Nd2 0.772 0.677 0.677
Nd3 0.125 0.323 0.323
Nd4 0.449 0.677 0.323
Dy1 0.141 0.000 0.623
Dy2 0.764 0.000 0.377
Dy3 0.141 0.623 0.000
Dy4 0.690 0.000 0.000
Dy5 0.764 0.377 0.000
Ho1 0.214 0.000 0.000

***

Stability ranking, top entry: entry w; the second entry is 0.050 eV/atom less favorable.

***

Entry w
This record from Alexandria via LeMat-Bulk describes Nd3Dy2Ho3 after structural relaxation. The functional is PBE.

* density of states at the Fermi level: 2.23 states/eV per atom
* M_tot: 0.0 μB/f.u.
* volume: 32.812 Å³/atom

Cell lengths 5.958, 5.965, 8.506 Å; angles 110.57, 110.50, 90.00 degrees
Element x y z (fractional)
Dy1 0.248 0.249 0.497
Dy2 0.752 0.751 0.503
Nd1 0.500 0.500 0.000
Nd2 0.628 0.128 0.257
Nd3 0.372 0.872 0.743
Ho1 0.000 0.000 0.000
Ho2 0.875 0.375 0.751
Ho3 0.125 0.625 0.249

***

Entry x
This record from Alexandria via LeMat-Bulk describes Nd3Dy2Ho3 after structural relaxation. The functional is PBE.

* density of states at the Fermi level: 1.50 states/eV per atom
* M_tot: 0.0 μB/f.u.
* volume: 32.632 Å³/atom

Cell lengths 5.064, 5.076, 10.769 Å; angles 103.63, 103.60, 90.00 degrees
Element x y z (fractional)
Dy1 0.249 0.749 0.499
Dy2 0.751 0.251 0.501
Nd1 0.125 0.125 0.250
Nd2 0.000 0.500 0.000
Nd3 0.875 0.875 0.750
Ho1 0.500 0.000 0.000
Ho2 0.374 0.374 0.747
Ho3 0.626 0.626 0.253

***

Stability ranking, top entry: entry x; the second entry is 0.104 eV/atom less favorable.

***

Entry w
This record from Alexandria via LeMat-Bulk describes Nd4Dy2Ho5 after structural relaxation. The functional is PBE.

* density of states at the Fermi level: 1.48 states/eV per atom
* M_tot: 0.0 μB/f.u.
* volume: 33.835 Å³/atom

Cell lengths 3.505, 9.241, 12.508 Å; angles 111.68, 98.05, 90.00 degrees
Element x y z (fractional)
Nd1 0.000 0.706 0.000
Nd2 0.596 0.596 0.193
Nd3 0.000 0.294 0.000
Nd4 0.404 0.404 0.807
Dy1 0.270 0.270 0.540
Dy2 0.730 0.730 0.460
Ho1 0.852 0.653 0.704
Ho2 0.852 0.051 0.704
Ho3 0.148 0.347 0.296
Ho4 0.148 0.949 0.296
Ho5 0.500 0.000 0.000

***

Entry x
This record from Alexandria via LeMat-Bulk describes Nd4Dy2Ho5 after structural relaxation. The functional is PBE.

* density of states at the Fermi level: 1.47 states/eV per atom
* M_tot: 0.0 μB/f.u.
* volume: 32.776 Å³/atom

Cell lengths 5.663, 6.644, 9.993 Å; angles 90.82, 106.46, 90.00 degrees
Element x y z (fractional)
Dy1 0.402 0.446 0.804
Dy2 0.598 0.554 0.196
Nd1 0.020 0.287 0.041
Nd2 0.694 0.074 0.389
Nd3 0.980 0.713 0.959
Nd4 0.306 0.926 0.611
Ho1 0.500 0.000 0.000
Ho2 0.791 0.598 0.582
Ho3 0.130 0.890 0.260
Ho4 0.870 0.110 0.740
Ho5 0.209 0.402 0.418

***

Stability ranking, top entry: entry x; the second entry is 0.173 eV/atom less favorable.

***

Entry w
This record from Alexandria via LeMat-Bulk describes Nd2Dy2Ho3 after structural relaxation. The functional is PBE.

* density of states at the Fermi level: 1.51 states/eV per atom
* M_tot: 0.0 μB/f.u.
* volume: 32.894 Å³/atom

Cell lengths 3.509, 8.556, 8.957 Å; angles 118.56, 101.30, 90.00 degrees
Element x y z (fractional)
Dy1 0.850 0.665 0.700
Dy2 0.150 0.335 0.300
Ho1 0.000 0.500 0.000
Ho2 0.788 0.200 0.577
Ho3 0.212 0.800 0.423
Nd1 0.567 0.913 0.134
Nd2 0.433 0.087 0.866

***

Entry x
This record from Alexandria via LeMat-Bulk describes Nd2Dy2Ho3 after structural relaxation. The functional is PBE.

* density of states at the Fermi level: 1.29 states/eV per atom
* M_tot: 0.0 μB/f.u.
* volume: 33.040 Å³/atom

Cell lengths 8.438, 8.438, 8.438 Å; angles 109.47, 109.47, 109.47 degrees
Element x y z (fractional)
Dy1 0.916 0.500 0.000
Dy2 0.584 0.084 0.084
Dy3 0.000 0.000 0.416
Dy4 0.500 0.416 0.500
Ho1 0.055 0.305 0.250
Ho2 0.750 0.555 0.305
Ho3 0.805 0.250 0.555
Ho4 0.250 0.945 0.195
Ho5 0.445 0.195 0.750
Ho6 0.695 0.750 0.945
Nd1 0.313 0.500 0.000
Nd2 0.500 0.813 0.500
Nd3 0.000 0.000 0.813
Nd4 0.187 0.687 0.687

***

Stability ranking, top entry: entry w; the second entry is 0.100 eV/atom less favorable.

***

Entry w
This record from Alexandria via LeMat-Bulk describes Nd7Dy3Ho after structural relaxation. The functional is PBE.

* density of states at the Fermi level: 1.52 states/eV per atom
* M_tot: 0.0 μB/f.u.
* volume: 35.785 Å³/atom

Cell lengths 10.309, 10.309, 12.630 Å; angles 65.42, 114.58, 139.12 degrees
Element x y z (fractional)
Nd1 0.913 0.580 0.026
Nd2 0.845 0.163 0.226
Nd3 0.155 0.837 0.774
Nd4 0.581 0.916 0.972
Nd5 0.713 0.713 0.250
Nd6 0.084 0.419 0.472
Nd7 0.163 0.846 0.274
Nd8 0.087 0.420 0.974
Nd9 0.420 0.087 0.526
Nd10 0.580 0.913 0.474
Nd11 0.916 0.581 0.528
Nd12 0.837 0.154 0.726
Nd13 0.287 0.287 0.750
Nd14 0.419 0.084 0.028
Dy1 0.000 0.000 0.000
Dy2 0.669 0.328 0.774
Dy3 0.328 0.669 0.726
Dy4 0.331 0.672 0.226
Dy5 0.000 0.000 0.500
Dy6 0.672 0.331 0.274
Ho1 0.500 0.500 0.500
Ho2 0.500 0.500 0.000

***

Entry x
This record from Alexandria via LeMat-Bulk describes Nd7Dy3Ho after structural relaxation. The functional is PBE.

* density of states at the Fermi level: 1.35 states/eV per atom
* M_tot: 0.0 μB/f.u.
* volume: 34.931 Å³/atom

Cell lengths 5.922, 8.583, 8.583 Å; angles 83.08, 110.19, 110.19 degrees
Element x y z (fractional)
Ho1 0.500 0.500 0.500
Dy1 0.000 0.795 0.205
Dy2 0.000 0.205 0.795
Dy3 0.500 0.000 0.000
Nd1 0.211 0.210 0.210
Nd2 0.789 0.790 0.790
Nd3 0.307 0.597 0.017
Nd4 0.307 0.017 0.597
Nd5 0.693 0.403 0.983
Nd6 0.000 0.500 0.500
Nd7 0.693 0.983 0.403

***

Stability ranking, top entry: entry w; the second entry is 0.045 eV/atom less favorable.

***

Entry w
This record from Alexandria via LeMat-Bulk describes Nd2DyHo6 after structural relaxation. The functional is PBE.

* density of states at the Fermi level: 1.37 states/eV per atom
* M_tot: 0.0 μB/f.u.
* volume: 32.389 Å³/atom

Cell lengths 6.419, 10.148, 10.148 Å; angles 88.11, 70.23, 70.23 degrees
Element x y z (fractional)
Ho1 0.588 0.259 0.631
Ho2 0.290 0.446 0.962
Ho3 0.088 0.631 0.259
Ho4 0.790 0.962 0.446
Ho5 0.692 0.198 0.055
Ho6 0.912 0.369 0.741
Ho7 0.308 0.802 0.945
Ho8 0.210 0.038 0.554
Ho9 0.192 0.055 0.198
Ho10 0.412 0.741 0.369
Ho11 0.710 0.554 0.038
Ho12 0.808 0.945 0.802
Dy1 0.750 0.868 0.132
Dy2 0.250 0.132 0.868
Nd1 0.334 0.314 0.390
Nd2 0.166 0.610 0.686
Nd3 0.666 0.686 0.610
Nd4 0.834 0.390 0.314

***

Entry x
This record from Alexandria via LeMat-Bulk describes Nd2DyHo6 after structural relaxation. The functional is PBE.

* density of states at the Fermi level: 1.30 states/eV per atom
* M_tot: 0.0 μB/f.u.
* volume: 32.320 Å³/atom

Cell lengths 6.568, 9.580, 9.580 Å; angles 96.08, 80.74, 80.74 degrees
Element x y z (fractional)
Ho1 0.496 0.347 0.724
Ho2 0.004 0.276 0.653
Ho3 0.770 0.538 0.941
Ho4 0.230 0.462 0.059
Ho5 0.504 0.653 0.276
Ho6 0.316 0.778 0.958
Ho7 0.730 0.059 0.462
Ho8 0.184 0.042 0.222
Ho9 0.270 0.941 0.538
Ho10 0.816 0.958 0.778
Ho11 0.996 0.724 0.347
Ho12 0.684 0.222 0.042
Nd1 0.626 0.669 0.618
Nd2 0.374 0.331 0.382
Nd3 0.874 0.382 0.331
Nd4 0.126 0.618 0.669
Dy1 0.750 0.882 0.118
Dy2 0.250 0.118 0.882

***

Stability ranking, top entry: entry x; the second entry is 0.096 eV/atom less favorable.

***

Entry w
This record from Alexandria via LeMat-Bulk describes Nd2DyHo8 after structural relaxation. The functional is PBE.

* density of states at the Fermi level: 1.34 states/eV per atom
* M_tot: 0.0 μB/f.u.
* volume: 32.432 Å³/atom

Cell lengths 5.885, 9.021, 9.191 Å; angles 60.61, 74.52, 57.05 degrees
Element x y z (fractional)
Dy1 0.500 0.000 0.000
Ho1 0.173 0.670 0.231
Ho2 0.296 0.428 0.000
Ho3 0.500 0.793 0.415
Ho4 0.704 0.572 0.000
Ho5 0.827 0.098 0.231
Ho6 0.173 0.902 0.769
Ho7 0.500 0.207 0.585
Ho8 0.827 0.330 0.769
Nd1 0.000 0.307 0.387
Nd2 0.000 0.693 0.613

***

Entry x
This record from Alexandria via LeMat-Bulk describes Nd2DyHo8 after structural relaxation. The functional is PBE.

* density of states at the Fermi level: 1.54 states/eV per atom
* M_tot: 0.0 μB/f.u.
* volume: 32.495 Å³/atom

Cell lengths 6.611, 6.655, 8.891 Å; angles 99.41, 111.83, 90.00 degrees
Element x y z (fractional)
Ho1 0.175 0.599 0.827
Ho2 0.589 0.906 0.178
Ho3 0.825 0.401 0.173
Ho4 0.199 0.802 0.398
Ho5 0.801 0.198 0.602
Ho6 0.653 0.599 0.827
Ho7 0.347 0.401 0.173
Ho8 0.411 0.094 0.822
Nd1 0.755 0.689 0.510
Nd2 0.245 0.311 0.490
Dy1 0.000 0.000 0.000

***

Stability ranking, top entry: entry w; the second entry is 0.014 eV/atom less favorable.